HfTiGaTc | GGA-PBE | optimized geometry Values from VASP.

```
&SYSTEM
  ibrav = 0, nat = 4, ntyp = 4
/
ATOMIC_SPECIES
Hf 178.49 Hf.upf
Tc 98.00 Tc.upf
Ga 69.72 Ga.upf
Ti 47.87 Ti.upf
CELL_PARAMETERS angstrom
4.559 0.000 0.000
2.279 3.948 0.000
2.279 1.316 3.722
ATOMIC_POSITIONS crystal
Hf 0.750 0.750 0.750
Tc 0.000 0.000 0.000
Ga 0.500 0.500 0.500
Ti 0.250 0.250 0.250
```

Electronic total energy: -32.86 eV per cell
Symmetry: F-43m, No. 216
V: 67 Å³/cell